# 1
Computed, not measured: a relaxed structure of K4PaCd3O8 at the PBE-GGA level of DFT.

Cell: 6.883 7.403 6.986 Å, 117.70 119.51 90.00°
Each line ends with the local moment (μB).
Atoms (fractional coordinates):
1 Pa 0.000 0.500 0.000  -0.01
2 O 0.769 0.703 0.991  0.05
3 O 0.779 0.297 0.009  0.05
4 O 0.222 0.697 0.444  0.12
5 O 0.725 0.677 0.451  0.20
6 O 0.231 0.297 0.009  0.05
7 O 0.221 0.703 0.991  0.05
8 O 0.275 0.323 0.549  0.20
9 O 0.778 0.303 0.556  0.12
10 K 0.500 0.000 0.500  0.00
11 K 0.000 0.000 0.000  0.00
12 K 0.000 0.000 0.500  0.00
13 K 0.500 0.000 0.000  0.00
14 Cd 0.500 0.500 0.500  0.03
15 Cd 0.500 0.500 0.000  0.02
16 Cd 0.000 0.500 0.500  0.03


# 2
Computed, not measured: a relaxed structure of SrYAsCl2 at the PBE-GGA level of DFT.

Cell: 5.350 6.078 5.350 Å, 90.00 90.00 90.00°
Each line ends with the local moment (μB).
Atoms (fractional coordinates):
1 Y 0.500 0.500 0.500  0.67
2 Cl 0.000 0.000 0.500  0.01
3 Cl 0.500 0.000 0.000  0.02
4 Sr 0.000 0.500 0.000  0.10
5 As 0.000 0.000 0.000  0.06


# 3
Computed, not measured: a relaxed structure of YCrReSe2 at the PBE-GGA level of DFT.

Cell: 5.263 5.127 5.263 Å, 90.00 90.00 90.00°
Each line ends with the local moment (μB).
Atoms (fractional coordinates):
1 Se 0.500 0.000 0.000  0.05
2 Se 0.000 0.000 0.500  0.04
3 Y 0.000 0.000 0.000  0.00
4 Cr 0.500 0.500 0.500  0.15
5 Re 0.000 0.500 0.000  0.28


For the records above, the corresponding energy relative to the elements, uncorrected values read -165.3; -4.2; 178.4 kJ per mole of atoms.